(1)
Tb8Cd2Pb | PBE-GGA | optimized geometry

Structure (CIF):
```
data_Tb8Cd2Pb
_chemical_formula_sum 'Tb16 Cd4 Pb2'
_symmetry_space_group_name_H-M 'C 1 2/m 1'
_symmetry_Int_Tables_number 12
_cell_length_a 18.016
_cell_length_b 5.179
_cell_length_c 7.473
_cell_angle_alpha 90.00
_cell_angle_beta 108.47
_cell_angle_gamma 90.00
loop_
_symmetry_equiv_pos_as_xyz
'x,y,z'
'-x,-y,-z'
'-x,y,-z'
'x,-y,z'
'x+1/2,y+1/2,z'
'-x+1/2,-y+1/2,-z'
'-x+1/2,y+1/2,-z'
'x+1/2,-y+1/2,z'
loop_
_atom_site_label
_atom_site_type_symbol
_atom_site_fract_x
_atom_site_fract_y
_atom_site_fract_z
Tb1 Tb 0.027 0.000 0.252
Tb2 Tb 0.093 0.500 0.962
Tb3 Tb 0.169 0.500 0.450
Tb4 Tb 0.192 0.000 0.791
Cd1 Cd 0.190 0.000 0.197
Pb1 Pb 0.000 0.500 0.500
```

Summary:
Crystal system: monoclinic
DOS at the Fermi energy in states/eV/cell: 26.5
Magnetic moment in μB/f.u.: 0.00


(2)
BaY2Mo | PBE-GGA | optimized geometry

Structure (CIF):
```
data_BaY2Mo
_chemical_formula_sum 'Ba4 Y8 Mo4'
_symmetry_space_group_name_H-M 'F -4 3 m'
_symmetry_Int_Tables_number 216
_symmetry_space_group_name_Hall 'F -4 2 3'
_cell_length_a 7.740
_cell_length_b 7.740
_cell_length_c 7.740
_cell_angle_alpha 90.00
_cell_angle_beta 90.00
_cell_angle_gamma 90.00
loop_
_atom_site_label
_atom_site_type_symbol
_atom_site_fract_x
_atom_site_fract_y
_atom_site_fract_z
Ba1 Ba 0.000 0.000 0.000
Y1 Y 0.000 0.000 0.500
Y2 Y 0.250 0.250 0.750
Mo1 Mo 0.250 0.250 0.250
```

Summary:
Crystal system: cubic
DOS at the Fermi energy in states/eV/cell: 21.0
Magnetic moment in μB/f.u.: 1.01


Formation energy for the records above, in order: -0.15; 0.81 eV/atom